1.
Computed, not measured: a relaxed LaY2Au crystal at the PBE-GGA level of DFT.

Properties
- Symmetry: R-3m
- Relative energy among the computed polymorphs: 0.1474 eV/atom
- Total magnetization: 0.00 μB/f.u.
- V: 127 Å³ per cell
- Formation enthalpy at 0 K: -0.286 eV per atom

Lattice parameters (Å, degrees): 10.2512 10.2512 10.2512 21.49 21.49 21.49
Atoms (fractional coordinates):
Au: 0.2500 0.2500 0.2500
La: 0.7500 0.7500 0.7500
Y: 0.9821 0.9821 0.9821
Y: 0.5179 0.5179 0.5179

---

2.
Computed, not measured: a relaxed LaY2Au crystal at the PBE-GGA level of DFT.

Properties
- Symmetry: Cm
- Relative energy among the computed polymorphs: 0.0711 eV/atom
- Total magnetization: 0.00 μB/f.u.
- V: 117 Å³ per cell
- Formation enthalpy at 0 K: -0.363 eV per atom

Lattice parameters (Å, degrees): 6.6049 6.6049 5.3802 66.13 66.13 33.40
Atoms (fractional coordinates):
Au: 0.4907 0.4907 0.5201
La: 0.2126 0.2126 0.2830
Y: 0.0026 0.0026 0.9957
Y: 0.7941 0.7941 0.7011

---

3.
Computed, not measured: a relaxed La2YAu crystal at the PBE-GGA level of DFT.

Properties
- Symmetry: Pmmm
- Relative energy among the computed polymorphs: 0.1626 eV/atom
- Total magnetization: 0.00 μB/f.u.
- V: 114 Å³ per cell
- Formation enthalpy at 0 K: -0.230 eV per atom

Lattice parameters (Å, degrees): 3.7062 5.4428 5.6349 90.00 90.00 90.00
Atoms (fractional coordinates):
Au: 0.0000 0.5000 0.5000
La: 0.0000 0.0000 0.0000
La: 0.5000 0.5000 0.0000
Y: 0.5000 0.0000 0.5000

---

4.
Computed, not measured: a relaxed LaY2Au2 crystal at the PBE-GGA level of DFT.

Properties
- Symmetry: P4/mbm
- Relative energy among the computed polymorphs: 0.0918 eV/atom
- Total magnetization: 0.63 μB/f.u.
- V: 256 Å³ per cell
- Formation enthalpy at 0 K: -0.575 eV per atom

Lattice parameters (Å, degrees): 8.5595 8.5595 3.4935 90.00 90.00 90.00
Site moments in Bohr magnetons follow the coordinates.
Atoms (fractional coordinates):
Y: 0.3574 0.8574 0.0000  0.07
Y: 0.8574 0.6426 0.0000  0.07
Y: 0.6426 0.1426 0.0000  0.07
Y: 0.1426 0.3574 0.0000  0.07
Au: 0.1538 0.6538 0.5000  0.00
Au: 0.6538 0.8462 0.5000  0.00
Au: 0.8462 0.3462 0.5000  0.00
Au: 0.3462 0.1538 0.5000  0.00
La: 0.0000 0.0000 0.0000  0.25
La: 0.5000 0.5000 0.0000  0.25

---

5.
Computed, not measured: a relaxed La2YAu crystal at the PBE-GGA level of DFT.

Properties
- Symmetry: R3m
- Relative energy among the computed polymorphs: 0.1391 eV/atom
- Total magnetization: 0.00 μB/f.u.
- V: 131 Å³ per cell
- Formation enthalpy at 0 K: -0.254 eV per atom

Lattice parameters (Å, degrees): 3.8501 3.8501 10.4399 79.37 79.37 60.00
Atoms (fractional coordinates):
La: 0.0720 0.0720 0.7841
La: 0.2617 0.2617 0.2150
Y: 0.4991 0.4991 0.5028
Au: 0.6673 0.6673 0.9980

---

6.
Computed, not measured: a relaxed LaY3Au crystal at the PBE-GGA level of DFT.

Properties
- Symmetry: Pm-3m
- Relative energy among the computed polymorphs: 0.0000 eV/atom
- Total magnetization: 0.00 μB/f.u.
- V: 175 Å³ per cell
- Formation enthalpy at 0 K: -0.141 eV per atom

Lattice parameters (Å, degrees): 5.5960 5.5960 5.5960 90.00 90.00 90.00
Atoms (fractional coordinates):
Y: 0.0000 0.5000 0.0000
Y: 0.0000 0.0000 0.5000
Y: 0.5000 0.0000 0.0000
Au: 0.0000 0.0000 0.0000
La: 0.5000 0.5000 0.5000